No. 1
RbErIr: relaxed, PBE.

Unit cell a=7.0260 b=7.0260 c=7.0260 alpha=90.00 beta=90.00 gamma=90.00
Last column: nearest neighbours and their distance in Å.
Space group F-43m (No. 216)
Symmetry-distinct sites (fractional):
1 Rb 0.0000 0.0000 0.0000  4 Ir 3.04
2 Er 0.0000 0.0000 0.5000  4 Ir 3.04
3 Ir 0.2500 0.2500 0.2500  4 Er 3.04, 4 Rb 3.04

## Properties
The polymorph energy (0 for the lowest one) is 0.000 eV per atom.


No. 2
Cu: relaxed, PBE.

Unit cell a=2.5493 b=2.5493 c=8.3044 alpha=90.00 beta=90.00 gamma=120.00
Last column: nearest neighbours and their distance in Å.
Space group P6_3/mmc (No. 194)
Symmetry-distinct sites (fractional):
1 Cu 0.0000 0.0000 0.0000  12 Cu 2.54-2.55
2 Cu 0.3333 0.6667 0.2500  12 Cu 2.54-2.55

## Properties
The calculation puts the formation energy at 0.007 eV/atom. The polymorph energy (0 for the lowest one) is 0.007 eV per atom.


No. 3
Pr6GaNi2: relaxed, PBE.

Unit cell a=9.4472 b=10.2106 c=10.4034 alpha=90.00 beta=90.00 gamma=90.00
Last column: nearest neighbours and their distance in Å.
Space group Immm (No. 71)
Symmetry-distinct sites (fractional):
1 Pr 0.0000 0.1953 0.2350  1 Ni 2.98, 1 Ga 3.15
2 Pr 0.1946 0.5000 0.1764  3 Ni 2.82-2.95
3 Pr 0.2159 0.3186 0.5000  3 Ni 3.01-3.26, 1 Ga 3.26
4 Ga 0.0000 0.0000 0.0000  8 Pr 3.15-3.26
5 Ga 0.0000 0.0000 0.5000  8 Pr 3.40-3.42
6 Ni 0.0000 0.3623 0.0000  1 Ni 2.81, 6 Pr 2.95-2.98
7 Ni 0.0000 0.5000 0.3826  1 Ni 2.44

## Properties
For the uncorrected energy, the calculation gives -180.38 eV per cell.


No. 4
HfTa2Pb2: relaxed, PBE.

Unit cell a=4.1161 b=4.1161 c=13.0869 alpha=90.00 beta=90.00 gamma=90.00
Last column: nearest neighbours and their distance in Å.
Space group I4/mmm (No. 139)
Symmetry-distinct sites (fractional):
1 Hf 0.0000 0.0000 0.0000  8 Pb 3.21
2 Ta 0.0000 0.5000 0.2500  4 Pb 2.82, 4 Ta 2.91
3 Pb 0.0000 0.0000 0.3969  1 Pb 2.70, 4 Ta 2.82

## Properties
For the uncorrected energy, the calculation gives -75.45 eV per cell.


No. 5
Tb2ErInGa2Hg3: relaxed, PBE.

Unit cell a=4.4505 b=12.7594 c=7.3838 alpha=90.00 beta=90.00 gamma=90.00
Last column: nearest neighbours and their distance in Å.
Space group Amm2 (No. 38)
Symmetry-distinct sites (fractional):
1 Tb 0.0000 0.2166 0.0000  4 Ga 3.12, 2 Hg 3.15, 1 In 3.20
2 Er 0.0000 0.0000 0.6516  4 Ga 3.11, 2 Hg 3.15, 1 In 3.19
3 In 0.0000 0.0000 0.2193  6 Hg 2.95-2.97, 1 Er 3.19, 2 Tb 3.20
4 Ga 0.5000 0.1657 0.7165  3 Hg 2.74-2.76
5 Hg 0.5000 0.0000 0.9526  2 Ga 2.74, 2 In 2.97
6 Hg 0.5000 0.1324 0.3489  2 Ga 2.75-2.76, 2 In 2.95

## Properties
For the uncorrected energy, the calculation gives -55.54 eV per cell.


No. 6
Sr3Mo2P4: relaxed, PBE.

Unit cell a=13.2273 b=10.2329 c=6.5658 alpha=90.00 beta=92.69 gamma=90.00
Last column: nearest neighbours and their distance in Å.
Space group C2/c (No. 15)
Symmetry-distinct sites (fractional):
1 Sr 0.0000 0.0972 0.2500  6 P 3.00-3.17
2 Sr 0.1233 0.3692 0.5443  5 P 3.04-3.23
3 Mo 0.2067 0.1276 0.9271  4 P 2.34-2.42
4 P 0.1174 0.3216 0.0273  2 Mo 2.39-2.42
5 P 0.1644 0.0706 0.5893  2 Mo 2.34-2.37

## Properties
The polymorph energy (0 for the lowest one) is 0.000 eV per atom.


No. 7
La2TlCd: relaxed, PBE.

Unit cell a=5.2852 b=5.2852 c=10.8004 alpha=90.00 beta=90.00 gamma=120.00
Last column: nearest neighbours and their distance in Å.
Space group P6_3/mmc (No. 194)
Symmetry-distinct sites (fractional):
1 La 0.3333 0.6667 0.1120  1 La 2.98, 3 Cd 3.28
2 Tl 0.3333 0.6667 0.7500  6 La 3.40
3 Cd 0.0000 0.0000 0.0000  6 La 3.28

## Properties
The polymorph energy (0 for the lowest one) is 0.272 eV per atom.


No. 8
NbCoBiW: relaxed, PBE.

Unit cell a=6.5321 b=6.5321 c=6.5321 alpha=90.00 beta=90.00 gamma=90.00
Last column: nearest neighbours and their distance in Å.
Space group F-43m (No. 216)
Symmetry-distinct sites (fractional):
1 Nb 0.0000 0.0000 0.0000  4 W 2.83, 4 Co 2.83
2 Co 0.2500 0.2500 0.7500  4 Nb 2.83, 4 Bi 2.83
3 Bi 0.0000 0.0000 0.5000  4 Co 2.83, 4 W 2.83
4 W 0.2500 0.2500 0.2500  4 Bi 2.83, 4 Nb 2.83

## Properties
The polymorph energy (0 for the lowest one) is 0.000 eV per atom.